w) PuHf2Tc | PBE | relaxed

a = 3.325 Å, b = 4.868 Å, c = 4.868 Å
α = 90.00°, β = 90.00°, γ = 90.00°
Last column: magnetic moment on the atom in μB.
Element x y z (fractional)
1 Hf 0.000 0.000 0.500  0.10
2 Hf 0.000 0.500 0.000  0.10
3 Tc 0.500 0.000 0.000  -0.27
4 Pu 0.500 0.500 0.500  5.00

The density of states at the Fermi level is 1.99 states/eV/atom. Its space group is P4/mmm (123). Its crystal system is tetragonal.

***

x) PuHf2Tc | PBE | relaxed

a = 4.817 Å, b = 4.817 Å, c = 4.817 Å
α = 60.00°, β = 60.00°, γ = 60.00°
Last column: magnetic moment on the atom in μB.
Element x y z (fractional)
1 Hf 0.250 0.250 0.250  0.18
2 Hf 0.750 0.750 0.750  0.18
3 Tc 0.500 0.500 0.500  -0.48
4 Pu 0.000 0.000 0.000  5.19

The density of states at the Fermi level is 2.49 states/eV/atom. Its space group is Fm-3m (225). Its crystal system is cubic.

***

Of the structures shown above, w) is the least stable.